(1)
KTl2BrO: optimized geometry, GGA-PBE.

Crystal system: monoclinic
Total magnetic moment: 0.00 μB/f.u.
Symmetry: P2_1/m
E_form (uncorrected): -0.94 eV per atom
Raw total energy: -3.43 eV/atom

Lattice parameters (Å, degrees): 4.7524 8.2675 8.2152 88.48 90.00 90.00
Closest atoms and distances in Å follow each position.
Element x y z (fractional)
O1 0.2500 0.9607 0.8426  2 Tl 2.24-2.37
O2 0.7500 0.0393 0.1574  2 Tl 2.24-2.37
Tl1 0.7500 0.8932 0.3909  1 O 2.24
Tl2 0.2500 0.1068 0.6091  1 O 2.24
Tl3 0.2500 0.1529 0.0511  1 O 2.37
Tl4 0.7500 0.8471 0.9489  1 O 2.37
K1 0.7500 0.3569 0.2880  1 O 2.86
K2 0.2500 0.6431 0.7120  1 O 2.86
Br1 0.7500 0.3634 0.7038  2 Tl 3.29, 3 K 3.32-3.42
Br2 0.2500 0.6366 0.2962  2 Tl 3.29, 3 K 3.32-3.42

=====

(2)
KTlBr2O6: optimized geometry, GGA-PBE.

Crystal system: monoclinic
Total magnetic moment: 0.00 μB/f.u.
Symmetry: C2/c
E_form (uncorrected): -0.41 eV per atom
Raw total energy: -4.06 eV/atom

Lattice parameters (Å, degrees): 7.7471 7.7471 7.4560 100.01 100.01 97.37
Closest atoms and distances in Å follow each position.
Element x y z (fractional)
O1 0.5029 0.7795 0.1274  1 Br 1.70
O2 0.2205 0.4971 0.3726  1 Br 1.70
O3 0.7795 0.5029 0.6274  1 Br 1.70
O4 0.0863 0.6619 0.8618  1 Br 1.69
O5 0.1899 0.1619 0.1844  1 Br 1.68
O6 0.1619 0.1899 0.6844  1 Br 1.68
O7 0.4971 0.2205 0.8726  1 Br 1.70
O8 0.8101 0.8381 0.8156  1 Br 1.68
O9 0.8381 0.8101 0.3156  1 Br 1.68
O10 0.9137 0.3381 0.1382  1 Br 1.69
O11 0.3381 0.9137 0.6382  1 Br 1.69
O12 0.6619 0.0863 0.3618  1 Br 1.69
Tl1 0.5889 0.4111 0.2500  4 O 2.86-2.88
Tl2 0.4111 0.5889 0.7500  4 O 2.86-2.88
Br1 0.0786 0.3014 0.3002  3 O 1.68-1.70
Br2 0.9214 0.6986 0.6998  3 O 1.68-1.70
Br3 0.3014 0.0786 0.8002  3 O 1.68-1.70
Br4 0.6986 0.9214 0.1998  3 O 1.68-1.70
K1 0.8125 0.1875 0.7500  6 O 2.78-2.86
K2 0.1875 0.8125 0.2500  6 O 2.78-2.86

=====

Look up the total magnetic moment of the second one.
0.00 μB/f.u.

=====

E_form (uncorrected) of number 2 (KTlBr2O6)?
-0.41 eV per atom

=====

Repeat the first record exactly.
KTl2BrO: optimized geometry, GGA-PBE.

Crystal system: monoclinic
Total magnetic moment: 0.00 μB/f.u.
Symmetry: P2_1/m
E_form (uncorrected): -0.94 eV per atom
Raw total energy: -3.43 eV/atom

Lattice parameters (Å, degrees): 4.7524 8.2675 8.2152 88.48 90.00 90.00
Closest atoms and distances in Å follow each position.
Element x y z (fractional)
O1 0.2500 0.9607 0.8426  2 Tl 2.24-2.37
O2 0.7500 0.0393 0.1574  2 Tl 2.24-2.37
Tl1 0.7500 0.8932 0.3909  1 O 2.24
Tl2 0.2500 0.1068 0.6091  1 O 2.24
Tl3 0.2500 0.1529 0.0511  1 O 2.37
Tl4 0.7500 0.8471 0.9489  1 O 2.37
K1 0.7500 0.3569 0.2880  1 O 2.86
K2 0.2500 0.6431 0.7120  1 O 2.86
Br1 0.7500 0.3634 0.7038  2 Tl 3.29, 3 K 3.32-3.42
Br2 0.2500 0.6366 0.2962  2 Tl 3.29, 3 K 3.32-3.42